1.
! GaCuNi3 | the Alexandria database | GGA-PBE | relaxed; values from VASP
! Symmetry   P6_3/mmc, No. 194
! Offset from the most stable computed form   188 meV/atom
! Calculated density   7.72 g/cm3
! Calculated total energy   -4.643 eV/atom
! DFT formation energy   0.250 eV per atom
! V   13.30 A^3/atom
&SYSTEM
  ibrav = 0, nat = 10, ntyp = 3
/
ATOMIC_SPECIES
Ni 58.69 Ni.upf
Cu 63.55 Cu.upf
Ga 69.72 Ga.upf
ATOMIC_POSITIONS angstrom
Ni -0.658 -3.747 3.797
Cu -1.040 -1.909 -0.184
Ni -1.623 -3.029 1.791
Ni 1.026 -1.894 0.923
Ga 0.992 -4.415 1.400
Ga -0.624 -1.227 3.320
Cu 0.000 0.000 0.000
Ni 1.991 -2.613 2.929
Ni -2.714 -2.630 3.822
Ni 3.082 -3.011 0.898
CELL_PARAMETERS angstrom
-2.080 -3.819 -0.368
5.213 -2.833 -0.063
-2.765 1.010 5.151

=====

2.
! Cd2GaAg2 | the Alexandria database | GGA-PBE | relaxed; values from VASP
! Symmetry   Cmc2_1, No. 36
! Offset from the most stable computed form   2 meV/atom
! Calculated density   8.68 g/cm3
! Calculated total energy   -2.100 eV/atom
! DFT formation energy   0.012 eV per atom
! V   19.53 A^3/atom
&SYSTEM
  ibrav = 0, nat = 10, ntyp = 3
/
ATOMIC_SPECIES
Cd 112.41 Cd.upf
Ga 69.72 Ga.upf
Ag 107.87 Ag.upf
ATOMIC_POSITIONS angstrom
Cd -0.636 -2.714 8.128
Cd 1.049 -0.948 1.435
Ga 1.957 -1.817 7.116
Ag -0.268 0.157 7.346
Ag 0.305 -0.318 4.244
Ga -0.463 -2.812 3.106
Cd -1.852 -1.606 5.611
Cd 2.480 -2.248 4.084
Ag 0.480 -3.677 5.546
Ag -1.784 -1.612 0.714
CELL_PARAMETERS angstrom
-3.167 -3.565 -0.039
3.659 -3.276 2.231
-0.802 3.825 6.931

=====

3.
! MnZnGa4Se8 | the Alexandria database | GGA-PBE | relaxed; values from VASP
! Symmetry   C2, No. 5
! Calculated density   4.82 g/cm3
! Calculated total energy   -4.208 eV/atom
! Formation energy from raw total energies   -606 meV/atom
! V   25.35 A^3/atom
&SYSTEM
  ibrav = 0, nat = 14, ntyp = 4
/
ATOMIC_SPECIES
Ga 69.72 Ga.upf
Se 78.96 Se.upf
Zn 65.41 Zn.upf
Mn 54.94 Mn.upf
ATOMIC_POSITIONS angstrom
Ga -2.611 -0.443 2.926
Ga -3.744 1.378 -0.382
Se -5.839 -3.799 2.400
Se -1.920 0.257 -1.591
Se -8.389 -5.486 -0.240
Zn -3.808 2.709 4.971
Se -7.094 -1.977 -1.120
Se -4.345 -1.475 -3.871
Mn -5.171 -2.262 0.501
Ga -7.795 -2.747 3.437
Se -5.903 -5.010 -3.010
Ga -5.235 -0.929 5.859
Se -4.538 -0.010 1.473
Se -3.214 -3.262 -0.754
CELL_PARAMETERS angstrom
-3.808 2.710 4.974
-3.680 0.043 -5.748
-2.855 -7.277 1.776